A) Here is a relaxed LaVCd2 crystal from Alexandria. Energies are from PBE.

```
data_LaVCd2
_chemical_formula_sum 'La4 V4 Cd8'
_cell_length_a 7.340
_cell_length_b 7.340
_cell_length_c 7.340
_cell_angle_alpha 90.00
_cell_angle_beta 90.00
_cell_angle_gamma 90.00
_space_group_name_H-M_alt 'F m -3 m'
_space_group_IT_number 225
_space_group_name_Hall '-F 4 2 3'
loop_
_atom_site_label
_atom_site_type_symbol
_atom_site_fract_x
_atom_site_fract_y
_atom_site_fract_z
La1 La 0.000 0.000 0.000
V1 V 0.000 0.000 0.500
Cd1 Cd 0.250 0.250 0.250
```

Results
DOS at the Fermi energy = 1.3134 states/eV per atom
calculated volume = 395.40 Å³/cell



B) Here is a relaxed LaVCd2 crystal from Alexandria. Energies are from PBE.

```
data_LaVCd2
_chemical_formula_sum 'La4 V4 Cd8'
_cell_length_a 4.503
_cell_length_b 4.503
_cell_length_c 21.303
_cell_angle_alpha 90.00
_cell_angle_beta 90.00
_cell_angle_gamma 90.00
_space_group_name_H-M_alt 'I -4 2 d'
_space_group_IT_number 122
_space_group_name_Hall 'I -4 2bw'
loop_
_atom_site_label
_atom_site_type_symbol
_atom_site_fract_x
_atom_site_fract_y
_atom_site_fract_z
La1 La 0.000 0.000 0.000
V1 V 0.000 0.000 0.500
Cd1 Cd 0.190 0.250 0.625
```

Results
DOS at the Fermi energy = 0.6598 states/eV per atom
calculated volume = 432.04 Å³/cell



Least stable = B)



A) Here is a relaxed LaVCd3 crystal from Alexandria. Energies are from PBE.

```
data_LaVCd3
_chemical_formula_sum 'La1 V1 Cd3'
_cell_length_a 5.945
_cell_length_b 5.945
_cell_length_c 5.945
_cell_angle_alpha 90.00
_cell_angle_beta 90.00
_cell_angle_gamma 90.00
_space_group_name_H-M_alt 'P m -3 m'
_space_group_IT_number 221
_space_group_name_Hall '-P 4 2 3'
loop_
_atom_site_label
_atom_site_type_symbol
_atom_site_fract_x
_atom_site_fract_y
_atom_site_fract_z
La1 La 0.000 0.000 0.000
V1 V 0.500 0.500 0.500
Cd1 Cd 0.000 0.000 0.500
```

Results
DOS at the Fermi energy = 2.4322 states/eV per atom
calculated volume = 210.11 Å³/cell



B) Here is a relaxed LaVCd3 crystal from Alexandria. Energies are from PBE.

```
data_LaVCd3
_chemical_formula_sum 'La1 V1 Cd3'
_cell_length_a 5.177
_cell_length_b 5.177
_cell_length_c 5.177
_cell_angle_alpha 90.00
_cell_angle_beta 90.00
_cell_angle_gamma 90.00
_space_group_name_H-M_alt 'P m -3 m'
_space_group_IT_number 221
_space_group_name_Hall '-P 4 2 3'
loop_
_atom_site_label
_atom_site_type_symbol
_atom_site_fract_x
_atom_site_fract_y
_atom_site_fract_z
La1 La 0.000 0.000 0.000
V1 V 0.500 0.500 0.500
Cd1 Cd 0.000 0.500 0.500
```

Results
DOS at the Fermi energy = 0.6624 states/eV per atom
calculated volume = 138.74 Å³/cell



Least stable = A)



A) Here is a relaxed LaCd2W crystal from Alexandria. Energies are from PBE.

```
data_LaCd2W
_chemical_formula_sum 'La2 Cd4 W2'
_cell_length_a 4.354
_cell_length_b 4.354
_cell_length_c 9.470
_cell_angle_alpha 90.00
_cell_angle_beta 90.00
_cell_angle_gamma 90.00
_space_group_name_H-M_alt 'I 4/m m m'
_space_group_IT_number 139
_space_group_name_Hall '-I 4 2'
loop_
_atom_site_label
_atom_site_type_symbol
_atom_site_fract_x
_atom_site_fract_y
_atom_site_fract_z
La1 La 0.000 0.000 0.000
Cd1 Cd 0.000 0.500 0.250
W1 W 0.000 0.000 0.500
```

Results
DOS at the Fermi energy = 1.0957 states/eV per atom
calculated volume = 179.55 Å³/cell



B) Here is a relaxed LaCd2W crystal from Alexandria. Energies are from PBE.

```
data_LaCd2W
_chemical_formula_sum 'La1 Cd2 W1'
_cell_length_a 5.425
_cell_length_b 5.425
_cell_length_c 3.059
_cell_angle_alpha 90.00
_cell_angle_beta 90.00
_cell_angle_gamma 90.00
_space_group_name_H-M_alt 'P 4/m m m'
_space_group_IT_number 123
_space_group_name_Hall '-P 4 2'
loop_
_atom_site_label
_atom_site_type_symbol
_atom_site_fract_x
_atom_site_fract_y
_atom_site_fract_z
La1 La 0.000 0.000 0.000
Cd1 Cd 0.000 0.500 0.500
W1 W 0.500 0.500 0.000
```

Results
DOS at the Fermi energy = 0.7951 states/eV per atom
calculated volume = 90.01 Å³/cell



Least stable = B)